# Co2SnCF

Crystalline Co2SnCF at its relaxed geometry (GGA+U, Alexandria).

Structure (extended XYZ):
```
5
Lattice="5.0558 0.0000 0.0000 0.0000 4.3157 0.0000 0.0000 0.0000 5.0558" Properties=species:S:1:pos:R:3 pbc="T T T"
C 2.5279 2.1579 2.5279
Co 0.0000 0.0000 2.5279
Co 2.5279 0.0000 0.0000
Sn 0.0000 0.0000 0.0000
F 0.0000 2.1579 0.0000
```

* crystal system: tetragonal
* E_tot: -3.536 eV per atom
* magnetization: 0.59 μB per atom
* calculated volume: 110.3 Å³ per cell